# 1
First-principles (PBE) data for crystalline RbSc2Au at its relaxed geometry, as listed in the Alexandria database.

Properties
As for the formation energy: 98 meV/atom. As for the space group: R-3m (166).

```
4
Lattice="2.115 0.000 10.988 -1.057 1.831 10.988 -1.057 -1.831 10.988" Properties=species:S:1:pos:R:3 pbc="T T T"
Sc 0.000 0.000 29.273
Sc 0.000 0.000 3.691
Au 0.000 0.000 16.482
Rb 0.000 0.000 0.000
```

# 2
First-principles (PBE) data for crystalline Bi12RuO20 at its relaxed geometry, as listed in the Alexandria database.

Properties
The uncorrected formation energy is -1.150 eV/atom. As for the space group: I23 (197).

```
33
Lattice="-5.899 1.149 6.647 0.138 -8.629 -2.413 8.156 2.453 2.787" Properties=species:S:1:pos:R:3 pbc="T T T"
Bi -1.307 -1.864 3.028
Bi 3.981 -3.371 4.006
Bi -3.657 -4.345 4.538
Bi 2.090 -0.063 3.159
Bi 5.773 -0.475 2.471
Bi 0.111 -5.216 4.005
Bi 3.095 1.484 6.408
Bi -0.507 -6.259 0.471
Bi 1.677 -3.238 1.026
Bi 4.582 -5.579 0.843
Bi -2.263 0.431 5.861
Bi 0.793 -1.668 6.313
Ru 0.000 0.000 0.000
O 0.927 -1.946 2.717
O -3.616 0.704 4.075
O 0.085 -5.290 -1.479
O 5.000 1.504 1.708
O -1.186 -3.601 4.450
O 5.760 -3.049 2.670
O -3.465 -2.108 4.425
O 2.392 -0.731 5.284
O 3.681 -1.297 2.498
O -1.510 -6.261 2.850
O 3.944 1.296 4.335
O -0.036 -4.358 1.575
O 2.955 -4.401 2.464
O 2.506 -5.454 -0.008
O -0.703 -0.519 4.551
O 0.033 0.320 7.035
O 1.887 -3.960 5.531
O -1.252 0.244 1.411
O 0.029 -1.831 -0.512
O 1.731 0.521 0.591
```

# 3
First-principles (PBE) data for crystalline CdTeO3 at its relaxed geometry, as listed in the Alexandria database.

Properties
The uncorrected formation energy is -1.110 eV/atom. As for the space group: P2_1/c (14).

```
40
Lattice="11.443 0.000 0.000 0.000 7.604 0.017 0.000 3.257 7.305" Properties=species:S:1:pos:R:3 pbc="T T T"
Cd 11.351 6.148 1.975
Cd 5.629 8.515 5.355
Cd 0.092 4.713 5.346
Cd 5.814 2.346 1.967
Cd 8.761 0.171 0.013
Cd 3.039 6.888 7.300
Cd 2.683 10.690 7.308
Cd 8.404 3.973 0.021
Te 8.498 8.248 3.666
Te 2.776 6.415 3.664
Te 2.946 2.613 3.656
Te 8.667 4.446 3.657
Te 0.003 8.506 6.127
Te 5.725 6.157 1.203
Te 11.440 2.355 1.195
Te 5.718 4.704 6.118
O 10.544 0.683 1.404
O 4.823 6.376 5.909
O 0.899 10.178 5.918
O 6.620 4.485 1.412
O 7.193 2.076 3.702
O 1.471 4.983 3.611
O 4.250 8.785 3.620
O 9.972 5.878 3.710
O 9.539 3.537 5.098
O 3.818 3.523 2.215
O 1.904 7.325 2.224
O 7.625 7.339 5.106
O 7.206 5.226 7.277
O 1.485 1.833 0.037
O 4.237 5.635 0.045
O 9.958 9.028 7.285
O 6.735 9.855 6.939
O 1.014 4.809 0.391
O 4.708 1.006 0.382
O 10.430 6.053 6.931
O 7.737 7.344 2.183
O 2.015 7.319 5.147
O 3.707 3.517 5.138
O 9.428 3.542 2.175
```

# 4
First-principles (PBE) data for crystalline Y2CrRh at its relaxed geometry, as listed in the Alexandria database.

Properties
As for the formation energy: 26 meV/atom. As for the space group: P4mm (99).

```
4
Lattice="3.400 0.034 0.000 -0.034 3.400 0.000 0.000 0.000 7.874" Properties=species:S:1:pos:R:3 pbc="T T T"
Cr 0.000 0.000 4.435
Rh 1.683 1.717 5.490
Y 0.000 0.000 7.374
Y 1.683 1.717 2.387
```

# 5
First-principles (PBE) data for crystalline Na6Hg2Pd at its relaxed geometry, as listed in the Alexandria database.

Properties
As for the formation energy: -155 meV/atom. As for the space group: R-3m (166).

```
9
Lattice="-3.408 2.286 -3.258 -1.000 -2.148 -4.673 -9.129 -5.443 1.518" Properties=species:S:1:pos:R:3 pbc="T T T"
Na -4.796 -1.239 -4.278
Na -8.820 -3.024 -5.534
Na -11.442 -4.903 -4.110
Na -4.717 -2.281 -0.879
Na -8.741 -4.066 -2.135
Na -2.095 -0.402 -2.304
Hg -6.451 -1.326 -6.821
Hg -7.086 -3.979 0.408
Pd 0.000 0.000 0.000
```

# 6
First-principles (PBE) data for crystalline RbTaGeTe at its relaxed geometry, as listed in the Alexandria database.

Properties
The uncorrected formation energy is -0.106 eV/atom. As for the space group: P3m1 (156).

```
4
Lattice="3.944 0.000 0.000 -1.972 3.416 0.000 0.000 0.000 8.631" Properties=species:S:1:pos:R:3 pbc="T T T"
Rb 0.000 0.000 6.295
Ta 0.000 0.000 1.655
Ge 1.972 1.139 0.375
Te 0.000 2.277 3.451
```

# 7
First-principles (PBE) data for crystalline CaTiCd2Tc at its relaxed geometry, as listed in the Alexandria database.

Properties
As for the formation energy: 1647 meV/atom. As for the space group: P4/mmm (123).

```
5
Lattice="-0.170 2.202 4.747 0.549 -4.118 1.930 5.195 0.641 -0.111" Properties=species:S:1:pos:R:3 pbc="T T T"
Ca 0.000 0.000 0.000
Ti 2.787 -0.638 3.283
Tc 0.275 -2.059 0.965
Cd 2.598 0.320 -0.056
Cd -0.085 1.101 2.374
```

# 8
First-principles (PBE) data for crystalline PrLuHf at its relaxed geometry, as listed in the Alexandria database.

Properties
As for the formation energy: 160 meV/atom. As for the space group: P3m1 (156).

```
3
Lattice="3.410 0.000 0.000 -1.705 2.953 0.000 0.000 0.000 8.442" Properties=species:S:1:pos:R:3 pbc="T T T"
Pr 0.000 0.000 0.149
Lu 0.000 1.968 5.429
Hf 1.705 0.984 2.864
```

| no. | final energy (eV/atom) |
| --- | --- |
| 1 | -4.1286 |
| 2 | -5.8474 |
| 3 | -4.8959 |
| 4 | -7.4499 |
| 5 | -1.6788 |
| 6 | -5.2505 |
| 7 | -2.7719 |
| 8 | -6.2584 |